Entry 1:
Here is ZrAsS after structural relaxation from Alexandria. Energies are from PBE.

Lattice parameters (Å, degrees): 3.770 3.770 15.771 90.00 90.00 90.00
Space group I4/mmm (No. 139)
Inequivalent atoms, fractional coordinates:
Zr (0.000, 0.000, 0.140)
As (0.000, 0.500, 0.000)
S (0.000, 0.000, 0.311)

Output
- V: 224.1 Å³/cell
- DOS at the Fermi energy: 9.244 states/eV per cell
- Raw formation energy: -1.00 eV per atom
- Final energy: -6.779 eV/atom

Entry 2:
Here is ZrAsS2 after structural relaxation from Alexandria. Energies are from PBE.

Lattice parameters (Å, degrees): 3.5029 3.5029 24.2827 90.00 90.00 120.00
Space group R-3m (No. 166, hexagonal axes)
Inequivalent atoms, fractional coordinates:
Zr (0.0000, 0.0000, 0.0000)
As (0.0000, 0.0000, 0.5000)
S (0.0000, 0.0000, 0.1035)

Output
- V: 258.0 Å³/cell
- DOS at the Fermi energy: 7.451 states/eV per cell
- Raw formation energy: -0.08 eV per atom
- Final energy: -5.442 eV/atom

Entry 3:
Here is Zr2As3S after structural relaxation from Alexandria. Energies are from PBE.

Lattice parameters (Å, degrees): 3.774 3.774 8.058 90.00 90.00 90.00
Space group P4mm (No. 99)
Inequivalent atoms, fractional coordinates:
Zr (0.000, 0.000, 0.000)
Zr (0.500, 0.500, 0.455)
As (0.000, 0.500, 0.727)
As (0.500, 0.500, 0.107)
S (0.000, 0.000, 0.352)

Output
- V: 114.8 Å³/cell
- DOS at the Fermi energy: 1.679 states/eV per cell
- Raw formation energy: -0.97 eV per atom
- Final energy: -6.829 eV/atom

Entry 4:
Here is ZrAsS2 after structural relaxation from Alexandria. Energies are from PBE.

Lattice parameters (Å, degrees): 3.4830 3.4830 24.8697 90.00 90.00 120.00
Space group R-3m (No. 166, hexagonal axes)
Inequivalent atoms, fractional coordinates:
Zr (0.0000, 0.0000, 0.0000)
As (0.0000, 0.0000, 0.5000)
S (0.0000, 0.0000, 0.3979)

Output
- V: 261.3 Å³/cell
- DOS at the Fermi energy: 5.697 states/eV per cell
- Raw formation energy: -0.81 eV per atom
- Final energy: -6.177 eV/atom

Entry 5:
Here is ZrAs2S after structural relaxation from Alexandria. Energies are from PBE.

Lattice parameters (Å, degrees): 5.801 5.801 12.829 90.00 90.00 90.00
Space group I-42d (No. 122)
Inequivalent atoms, fractional coordinates:
Zr (0.000, 0.000, 0.000)
As (0.237, 0.250, 0.625)
S (0.000, 0.000, 0.500)

Output
- V: 431.7 Å³/cell
- DOS at the Fermi energy: 18.627 states/eV per cell
- Raw formation energy: 0.17 eV per atom
- Final energy: -5.323 eV/atom

Entry 6:
Here is Zr6As2S after structural relaxation from Alexandria. Energies are from PBE.

Lattice parameters (Å, degrees): 11.285 3.718 8.688 90.00 90.87 90.00
Space group C2/m (No. 12)
Inequivalent atoms, fractional coordinates:
Zr (0.058, 0.000, 0.221)
Zr (0.141, 0.500, 0.942)
Zr (0.146, 0.500, 0.556)
As (0.246, 0.500, 0.244)
S (0.000, 0.000, 0.500)

Output
- V: 364.5 Å³/cell
- DOS at the Fermi energy: 13.410 states/eV per cell
- Raw formation energy: -0.97 eV per atom
- Final energy: -8.157 eV/atom